#a
! Ca2BePt2 | the Alexandria database | PBE-GGA | optimized geometry; values from VASP
! N(E_F)   0.584 states/eV/atom
! Mass density   8.05 g cm⁻³
&SYSTEM
  ibrav = 0, nat = 10, ntyp = 3
/
ATOMIC_SPECIES
Ca 40.08 Ca.upf
Pt 195.08 Pt.upf
Be 9.01 Be.upf
CELL_PARAMETERS angstrom
6.5775 0.0000 0.0000
0.0000 6.5775 0.0000
0.0000 0.0000 4.5699
ATOMIC_POSITIONS angstrom
Ca 4.4046 5.4617 2.2849
Ca 2.1729 1.1158 2.2849
Ca 1.1158 4.4046 2.2849
Ca 5.4617 2.1729 2.2849
Pt 5.5971 4.2692 0.0000
Pt 4.2692 0.9804 0.0000
Pt 2.3084 5.5971 0.0000
Pt 0.9804 2.3084 0.0000
Be 0.0000 0.0000 0.0000
Be 3.2888 3.2888 0.0000

***

#b
! Ca2BePt2 | the Alexandria database | PBE-GGA | optimized geometry; values from VASP
! N(E_F)   0.394 states/eV/atom
! Mass density   7.90 g cm⁻³
&SYSTEM
  ibrav = 0, nat = 10, ntyp = 3
/
ATOMIC_SPECIES
Pt 195.08 Pt.upf
Be 9.01 Be.upf
Ca 40.08 Ca.upf
CELL_PARAMETERS angstrom
0.0397 -2.3246 5.1663
4.8602 -0.2650 2.8989
-0.6853 6.0778 4.0642
ATOMIC_POSITIONS angstrom
Pt -0.2971 1.3527 5.9276
Pt 0.5971 3.6482 9.9140
Pt 3.6175 -0.1600 2.2155
Pt 4.5117 2.1355 6.2018
Be 4.3369 1.1041 4.0806
Be -0.1222 2.3841 8.0489
Ca 3.2132 3.7637 8.4212
Ca 1.0015 -0.2755 3.7083
Ca 1.8847 3.2871 5.1638
Ca 2.3299 0.2011 6.9657

***

Energies relative to the minimum, eV/atom: #a 0.269; #b 0.000

***

#a
! RbCaBe3 | the Alexandria database | PBE-GGA | optimized geometry; values from VASP
! N(E_F)   0.617 states/eV/atom
! Mass density   1.66 g cm⁻³
&SYSTEM
  ibrav = 0, nat = 5, ntyp = 3
/
ATOMIC_SPECIES
Be 9.01 Be.upf
Ca 40.08 Ca.upf
Rb 85.47 Rb.upf
CELL_PARAMETERS angstrom
-1.5076 -4.4711 -2.5172
-1.0991 -2.2812 4.7104
-5.0119 1.8452 -0.2759
ATOMIC_POSITIONS angstrom
Be -2.5059 0.9226 -0.1379
Be -0.7538 -2.2356 -1.2586
Be -0.5496 -1.1406 2.3552
Ca -3.8093 -2.4536 0.9587
Rb 0.0000 0.0000 0.0000

***

#b
! RbCaBe3 | the Alexandria database | PBE-GGA | optimized geometry; values from VASP
! N(E_F)   0.892 states/eV/atom
! Mass density   1.42 g cm⁻³
&SYSTEM
  ibrav = 0, nat = 5, ntyp = 3
/
ATOMIC_SPECIES
Be 9.01 Be.upf
Rb 85.47 Rb.upf
Ca 40.08 Ca.upf
CELL_PARAMETERS angstrom
5.6362 0.0000 0.0000
0.0000 5.6362 0.0000
0.0000 0.0000 5.6362
ATOMIC_POSITIONS angstrom
Be 0.0000 2.8181 0.0000
Be 0.0000 0.0000 2.8181
Be 2.8181 0.0000 0.0000
Rb 2.8181 2.8181 2.8181
Ca 0.0000 0.0000 0.0000

***

Energies relative to the minimum, eV/atom: #a 0.363; #b 0.000

***

#a
! RbCa3Be | the Alexandria database | PBE-GGA | optimized geometry; values from VASP
! N(E_F)   0.950 states/eV/atom
! Mass density   1.73 g cm⁻³
&SYSTEM
  ibrav = 0, nat = 5, ntyp = 3
/
ATOMIC_SPECIES
Ca 40.08 Ca.upf
Be 9.01 Be.upf
Rb 85.47 Rb.upf
CELL_PARAMETERS angstrom
-4.4674 -2.1111 3.2313
1.8021 -5.5116 -1.1093
3.4132 0.1469 4.8150
ATOMIC_POSITIONS angstrom
Ca -2.2337 -1.0555 1.6156
Ca 0.9011 -2.7558 -0.5547
Ca 1.7066 0.0735 2.4075
Be 0.0000 0.0000 0.0000
Rb 0.3740 -3.7379 3.4685

***

#b
! RbCa3Be | the Alexandria database | PBE-GGA | optimized geometry; values from VASP
! N(E_F)   1.707 states/eV/atom
! Mass density   1.57 g cm⁻³
&SYSTEM
  ibrav = 0, nat = 5, ntyp = 3
/
ATOMIC_SPECIES
Be 9.01 Be.upf
Rb 85.47 Rb.upf
Ca 40.08 Ca.upf
CELL_PARAMETERS angstrom
6.0948 0.0000 0.0000
0.0000 6.0948 0.0000
0.0000 0.0000 6.0948
ATOMIC_POSITIONS angstrom
Be 3.0474 3.0474 3.0474
Rb 0.0000 0.0000 0.0000
Ca 0.0000 0.0000 3.0474
Ca 3.0474 0.0000 0.0000
Ca 0.0000 3.0474 0.0000

***

Energies relative to the minimum, eV/atom: #a 0.000; #b 1.264